No. 1
Here is a relaxed Si2SbP crystal from Alexandria via LeMat-Bulk. Energies are from PBE-GGA.

a = 4.6226 Å, b = 4.6226 Å, c = 3.3843 Å
α = 90.00°, β = 90.00°, γ = 90.00°
Positions (direct):
P 0.5000 0.0000 0.5000
Si 0.0000 0.0000 0.0000
Si 0.5000 0.5000 0.0000
Sb 0.0000 0.5000 0.5000

Summary:
**Formation energy without anion corrections**: 0.652 eV per atom
**Energy above the most stable polymorph in this dataset**: 0.4252 eV per atom
**DFT total energy**: -17.8 eV for the cell shown

No. 2
Here is a relaxed NpAgHgSb crystal from Alexandria via LeMat-Bulk. Energies are from PBE-GGA.

a = 5.1480 Å, b = 5.1480 Å, c = 5.1480 Å
α = 60.00°, β = 60.00°, γ = 60.00°
Positions (direct):
Hg 0.2500 0.2500 0.2500
Sb 0.7500 0.7500 0.7500
Np 0.5000 0.5000 0.5000
Ag 0.0000 0.0000 0.0000

Summary:
**Formation energy without anion corrections**: 0.037 eV per atom
**DFT total energy**: -20.1 eV for the cell shown

No. 3
Here is a relaxed HfMn2CuRh crystal from Alexandria via LeMat-Bulk. Energies are from PBE-GGA.

a = 4.7605 Å, b = 4.6853 Å, c = 4.7605 Å
α = 90.00°, β = 90.00°, γ = 90.00°
Positions (direct):
Rh 0.0000 0.5000 0.0000
Hf 0.0000 0.0000 0.0000
Cu 0.5000 0.5000 0.5000
Mn 0.5000 0.0000 0.0000
Mn 0.0000 0.0000 0.5000

Summary:
**Formation energy**: 1338 meV per atom
**DFT total energy**: -33.1 eV for the cell shown

No. 4
Here is a relaxed Rb2ScAg2 crystal from Alexandria via LeMat-Bulk. Energies are from PBE-GGA.

a = 7.6209 Å, b = 7.6209 Å, c = 5.9080 Å
α = 90.00°, β = 90.00°, γ = 90.00°
Positions (direct):
Ag 0.6327 0.1327 0.0000
Ag 0.1327 0.3673 0.0000
Ag 0.3673 0.8673 0.0000
Ag 0.8673 0.6327 0.0000
Rb 0.3279 0.1721 0.5000
Rb 0.8279 0.3279 0.5000
Rb 0.1721 0.6721 0.5000
Rb 0.6721 0.8279 0.5000
Sc 0.5000 0.5000 0.0000
Sc 0.0000 0.0000 0.0000

Summary:
**Formation energy**: 314 meV per atom
**DFT total energy**: -24.8 eV for the cell shown

No. 5
Here is a relaxed KBi crystal from Alexandria via LeMat-Bulk. Energies are from PBE-GGA.

a = 5.6145 Å, b = 5.6145 Å, c = 7.0387 Å
α = 66.46°, β = 66.46°, γ = 59.97°
Positions (direct):
Bi 0.1823 0.1823 0.4530
Bi 0.8177 0.8177 0.5470
K 0.6079 0.6079 0.1759
K 0.3921 0.3921 0.8241

Summary:
**Formation energy**: -290 meV per atom
**DFT total energy**: -11.1 eV for the cell shown

No. 6
Here is a relaxed K3Tl8In3 crystal from Alexandria via LeMat-Bulk. Energies are from PBE-GGA.

a = 5.2854 Å, b = 9.8705 Å, c = 9.8705 Å
α = 72.69°, β = 74.47°, γ = 74.47°
Positions (direct):
Tl 0.3577 0.3541 0.9305
Tl 0.6423 0.0695 0.6459
Tl 0.1494 0.4874 0.2138
Tl 0.1494 0.2138 0.4874
Tl 0.6423 0.6459 0.0695
Tl 0.3577 0.9305 0.3541
Tl 0.8506 0.7862 0.5126
Tl 0.8506 0.5126 0.7862
K 0.5000 0.5000 0.5000
K 0.2096 0.7904 0.7904
K 0.7904 0.2096 0.2096
In 0.0000 0.8344 0.1656
In 0.0000 0.1656 0.8344
In 0.5000 0.0000 0.0000

Summary:
**Formation energy**: -70 meV per atom
**DFT total energy**: -31.4 eV for the cell shown

For reference, volume by record: 18.1, 24.1, 21.2, 34.3, 42.6, 33.1 A^3/atom.